Entry 1:
A plane-wave DFT calculation with PBE was carried out for an optimized crystal structure of Ce2SmGa3.

Values from the calculation:
The distance to the lowest polymorph of the same formula comes out at 0.0000 eV/atom.

Cell lengths 5.1563, 5.1563, 12.6397 Å; angles 90.00, 90.00, 120.00 degrees
Space group P-3m1 (No. 164)
Inequivalent atoms, fractional coordinates:
Ce (0.0000, 0.0000, 0.0000) [1 per cell]
Ce (0.0000, 0.0000, 0.5000) [1 per cell]
Ce (0.3333, 0.6667, 0.1658) [2 per cell]
Sm (0.3333, 0.6667, 0.6671) [2 per cell]
Ga (0.0000, 0.0000, 0.2510) [2 per cell]
Ga (0.3333, 0.6667, 0.4164) [2 per cell]
Ga (0.3333, 0.6667, 0.9155) [2 per cell]

Entry 2:
A plane-wave DFT calculation with PBE was carried out for an optimized crystal structure of Ba3Sr2Ca3.

Values from the calculation:
The distance to the lowest polymorph of the same formula comes out at 0.0000 eV/atom.

Cell lengths 4.7172, 6.7038, 26.7158 Å; angles 90.00, 90.00, 90.00 degrees
Space group Immm (No. 71)
Inequivalent atoms, fractional coordinates:
Ba (0.0000, 0.0000, 0.0000) [2 per cell]
Ba (0.0000, 0.5000, 0.1232) [4 per cell]
Sr (0.0000, 0.0000, 0.2460) [4 per cell]
Ca (0.0000, 0.0000, 0.5000) [2 per cell]
Ca (0.0000, 0.5000, 0.3743) [4 per cell]

Entry 3:
A plane-wave DFT calculation with PBE was carried out for an optimized crystal structure of RbPuSb2.

Values from the calculation:
The distance to the lowest polymorph of the same formula comes out at 0.1535 eV/atom. The calculation puts the formation energy without anion corrections at -0.287 eV/atom.

Cell lengths 4.7365, 4.7365, 24.3787 Å; angles 90.00, 90.00, 120.00 degrees
Space group R-3m (No. 166, hexagonal axes)
Inequivalent atoms, fractional coordinates:
Rb (0.0000, 0.0000, 0.0000) [3 per cell]
Pu (0.0000, 0.0000, 0.5000) [3 per cell]
Sb (0.0000, 0.0000, 0.2251) [6 per cell]

Entry 4:
A plane-wave DFT calculation with PBE was carried out for an optimized crystal structure of BeSiHg.

Values from the calculation:
The calculation puts the formation energy without anion corrections at 0.508 eV/atom.

Cell lengths 3.0939, 3.0939, 5.8574 Å; angles 90.00, 90.00, 120.00 degrees
Space group P3m1 (No. 156)
Inequivalent atoms, fractional coordinates:
Be (0.0000, 0.0000, 0.0000) [1 per cell]
Si (0.6667, 0.3333, 0.7273) [1 per cell]
Hg (0.3333, 0.6667, 0.3244) [1 per cell]

Entry 5:
A plane-wave DFT calculation with PBE was carried out for an optimized crystal structure of LiLa3B2Pt9.

Values from the calculation:
The value obtained for the uncorrected energy is -95.37 eV for the cell shown.

Cell lengths 6.6936, 6.6936, 6.9306 Å; angles 90.00, 90.00, 120.00 degrees
Space group P-3m1 (No. 164)
Inequivalent atoms, fractional coordinates:
Li (0.0000, 0.0000, 0.0000) [1 per cell]
La (0.0000, 0.0000, 0.5000) [1 per cell]
La (0.3333, 0.6667, 0.1693) [2 per cell]
B (0.3333, 0.6667, 0.6557) [2 per cell]
Pt (0.0000, 0.5000, 0.5000) [3 per cell]
Pt (0.1793, 0.3585, 0.8268) [6 per cell]

Entry 6:
A plane-wave DFT calculation with PBE was carried out for an optimized crystal structure of V2Cu2Hg.

Values from the calculation:
The distance to the lowest polymorph of the same formula comes out at 0.0880 eV/atom.

Cell lengths 7.5243, 7.5243, 2.6710 Å; angles 90.00, 90.00, 90.00 degrees
Space group P4/mbm (No. 127)
Inequivalent atoms, fractional coordinates:
V (0.1101, 0.3899, 0.0000) [4 per cell]
Cu (0.1800, 0.6800, 0.5000) [4 per cell]
Hg (0.0000, 0.0000, 0.0000) [2 per cell]

Entry 7:
A plane-wave DFT calculation with PBE was carried out for an optimized crystal structure of Li5Ge2Pd3.

Values from the calculation:
The value obtained for the uncorrected energy is -147.98 eV for the cell shown.

Cell lengths 8.7597, 12.9196, 5.2426 Å; angles 90.00, 90.00, 90.00 degrees
Space group Ibam (No. 72)
Inequivalent atoms, fractional coordinates:
Li (0.0000, 0.0000, 0.2500) [4 per cell]
Li (0.2402, 0.0000, 0.2500) [8 per cell]
Li (0.2500, 0.1736, 0.0000) [8 per cell]
Ge (0.0908, 0.3356, 0.0000) [8 per cell]
Pd (0.0000, 0.5000, 0.2500) [4 per cell]
Pd (0.0842, 0.1621, 0.5000) [8 per cell]

Entry 8:
A plane-wave DFT calculation with PBE was carried out for an optimized crystal structure of ThGaI5.

Values from the calculation:
The calculation puts the formation energy without anion corrections at -0.915 eV/atom.

Cell lengths 13.6035, 9.8592, 11.8962 Å; angles 90.00, 115.79, 90.00 degrees
Space group C2/c (No. 15)
Inequivalent atoms, fractional coordinates:
Th (0.0000, 0.0000, 0.0000) [4 per cell]
Ga (0.0000, 0.4963, 0.2500) [4 per cell]
I (0.0000, 0.1124, 0.7500) [4 per cell]
I (0.0712, 0.2859, 0.4667) [8 per cell]
I (0.2364, 0.0814, 0.1429) [8 per cell]

Entry 9:
A plane-wave DFT calculation with PBE was carried out for an optimized crystal structure of Tm4ZnRu.

Values from the calculation:
The distance to the lowest polymorph of the same formula comes out at 0.1177 eV/atom.

Cell lengths 6.7787, 6.7788, 6.8030 Å; angles 90.00, 90.09, 90.00 degrees
Space group C2/m (No. 12)
Inequivalent atoms, fractional coordinates:
Tm (0.2496, 0.2499, 0.2395) [8 per cell]
Zn (0.0000, 0.0000, 0.5000) [2 per cell]
Ru (0.0000, 0.5000, 0.0000) [2 per cell]

Entry 10:
A plane-wave DFT calculation with PBE was carried out for an optimized crystal structure of La6Tb2YTh.

Values from the calculation:
The value obtained for the uncorrected energy is -205.80 eV for the cell shown.

Cell lengths 9.3882, 15.2638, 9.9980 Å; angles 90.00, 99.37, 90.00 degrees
Space group C2/c (No. 15)
Inequivalent atoms, fractional coordinates:
La (0.0700, 0.1740, 0.4445) [8 per cell]
La (0.0976, 0.3974, 0.6210) [8 per cell]
La (0.2065, 0.2173, 0.8099) [8 per cell]
Tb (0.2397, 0.0440, 0.0488) [8 per cell]
Y (0.0000, 0.4069, 0.2500) [4 per cell]
Th (0.0000, 0.0267, 0.7500) [4 per cell]

Entry 11:
A plane-wave DFT calculation with PBE was carried out for an optimized crystal structure of Zr5Ni3Sb.

Values from the calculation:
The calculation puts the formation energy without anion corrections at -0.243 eV/atom.

Cell lengths 8.2742, 8.2742, 5.8270 Å; angles 90.00, 90.00, 120.00 degrees
Space group P6_3/mcm (No. 193)
Inequivalent atoms, fractional coordinates:
Zr (0.0000, 0.3046, 0.2500) [6 per cell]
Zr (0.3333, 0.6667, 0.0000) [4 per cell]
Ni (0.0000, 0.3931, 0.7500) [6 per cell]
Sb (0.0000, 0.0000, 0.0000) [2 per cell]

Entry 12:
A plane-wave DFT calculation with PBE was carried out for an optimized crystal structure of Cs2WI.

Values from the calculation:
The calculation puts the formation energy without anion corrections at 0.833 eV/atom.

Cell lengths 9.2989, 9.2989, 9.2989 Å; angles 90.00, 90.00, 90.00 degrees
Space group Fm-3m (No. 225)
Inequivalent atoms, fractional coordinates:
Cs (0.2500, 0.2500, 0.2500) [8 per cell]
W (0.0000, 0.0000, 0.0000) [4 per cell]
I (0.0000, 0.0000, 0.5000) [4 per cell]

Number 1: V 291.0 Å³ per cell. Number 2: V 844.8 Å³ per cell. Number 3: V 473.6 Å³ per cell. Number 4: V 48.6 Å³ per cell. Number 5: V 268.9 Å³ per cell. Number 6: V 151.2 Å³ per cell. Number 7: V 593.3 Å³ per cell. Number 8: V 1436.7 Å³ per cell. Number 9: V 312.6 Å³ per cell. Number 10: V 1413.6 Å³ per cell. Number 11: V 345.4 Å³ per cell. Number 12: V 804.1 Å³ per cell.